Compound: DySnH2
Source: the Alexandria database
Functional: GGA-PBE
Structure: optimized geometry

Properties
energy	-4.25	eV/atom

a b c (Å): 5.9693 5.9693 5.9693
angles (deg): 35.00 35.00 35.00
With the nearest neighbours (Å) after each atom.
Fractional positions:
Dy1 0.0000 0.0000 0.0000  6 H 2.14
Sn1 0.5000 0.5000 0.5000  8 H 3.08-3.32
H1 0.3024 0.3024 0.3024  3 Dy 2.14, 3 H 2.32
H2 0.6976 0.6976 0.6976  3 Dy 2.14, 3 H 2.32